Entry 1:
Compound: K2CrBr4
Source: Alexandria via LeMat-Bulk
Functional: PBE-GGA
Structure: optimized geometry

Cell lengths 8.9790, 8.9790, 8.9790 Å; angles 145.55, 145.55, 49.52 degrees
Last column: nearest neighbours and their distance in Å.
Fractional positions:
K 0.1376 0.1376 0.0000  5 Br 3.31-3.48
K 0.8624 0.8624 0.0000  5 Br 3.31-3.48
Cr 0.5000 0.5000 0.0000  6 Br 2.60-2.66
Br 0.0000 0.5000 0.5000  2 Cr 2.66
Br 0.3403 0.3403 0.0000  1 Cr 2.60
Br 0.5000 0.0000 0.5000  2 Cr 2.66
Br 0.6597 0.6597 0.0000  1 Cr 2.60

Values from the calculation:
- Formation energy without anion corrections: -1270 meV per atom
- VASP energy: -3.914 eV per atom
- Space-group type: I4/mmm
- Offset from the most stable computed form: 0.0000 eV per atom

Entry 2:
Compound: AcTbPmTh
Source: Alexandria via LeMat-Bulk
Functional: PBE-GGA
Structure: optimized geometry

Cell lengths 5.8554, 5.8554, 5.8554 Å; angles 60.00, 60.00, 60.00 degrees
Last column: nearest neighbours and their distance in Å.
Fractional positions:
Ac 0.0000 0.0000 0.0000  4 Tb 3.59, 4 Pm 3.59
Tb 0.7500 0.7500 0.7500  4 Ac 3.59, 4 Th 3.59
Pm 0.2500 0.2500 0.2500  4 Ac 3.59, 4 Th 3.59
Th 0.5000 0.5000 0.5000  4 Tb 3.59, 4 Pm 3.59

Values from the calculation:
- VASP energy: -5.057 eV per atom
- E_form: 0.171 eV per atom
- Space-group type: F-43m
- Offset from the most stable computed form: 0.1275 eV per atom

Entry 3:
Compound: TbPaFeCo
Source: Alexandria via LeMat-Bulk
Functional: PBE-GGA
Structure: optimized geometry

Cell lengths 4.7226, 4.7226, 4.7226 Å; angles 60.00, 60.00, 60.00 degrees
Last column: nearest neighbours and their distance in Å.
Fractional positions:
Tb 0.0000 0.0000 0.0000  4 Co 2.89, 4 Fe 2.89
Pa 0.5000 0.5000 0.5000  4 Fe 2.89, 4 Co 2.89
Fe 0.7500 0.7500 0.7500  4 Tb 2.89, 4 Pa 2.89
Co 0.2500 0.2500 0.2500  4 Pa 2.89, 4 Tb 2.89

Values from the calculation:
- VASP energy: -7.417 eV per atom
- E_form: 0.007 eV per atom
- Space-group type: F-43m

Entry 4:
Compound: SmDy2Pa
Source: Alexandria via LeMat-Bulk
Functional: PBE-GGA
Structure: optimized geometry

Cell lengths 11.7521, 11.7521, 11.7521 Å; angles 16.84, 16.84, 16.84 degrees
Last column: nearest neighbours and their distance in Å.
Fractional positions:
Sm 0.0000 0.0000 0.0000  6 Sm 3.44, 6 Dy 3.61
Dy 0.4201 0.4201 0.4201  3 Pa 3.43, 6 Dy 3.44, 3 Sm 3.61
Dy 0.5800 0.5800 0.5800  3 Pa 3.40, 6 Dy 3.44, 3 Sm 3.61
Pa 0.8338 0.8338 0.8338  6 Dy 3.40-3.43, 6 Pa 3.44

Values from the calculation:
- VASP energy: -5.736 eV per atom
- E_form: 0.119 eV per atom
- Space-group type: R3m
- Offset from the most stable computed form: 0.0000 eV per atom

Entry 5:
Compound: YScAs2
Source: Alexandria via LeMat-Bulk
Functional: PBE-GGA
Structure: optimized geometry

Cell lengths 6.0897, 6.0897, 6.0897 Å; angles 141.58, 141.58, 55.46 degrees
Last column: nearest neighbours and their distance in Å.
Fractional positions:
Y 0.0000 0.0000 0.0000  4 As 2.83
Sc 0.7500 0.2500 0.5000  4 As 2.83
As 0.2500 0.7500 0.5000  4 Sc 2.83
As 0.5000 0.5000 0.0000  4 Y 2.83

Values from the calculation:
- VASP energy: -6.518 eV per atom
- E_form: -0.995 eV per atom
- Space-group type: I-4m2
- Offset from the most stable computed form: 0.4579 eV per atom

Entry 6:
Compound: Sm2SN
Source: Alexandria via LeMat-Bulk
Functional: PBE-GGA
Structure: optimized geometry

Cell lengths 6.9543, 6.9543, 6.9543 Å; angles 30.80, 30.80, 30.80 degrees
Last column: nearest neighbours and their distance in Å.
Fractional positions:
Sm 0.0000 0.0000 0.0000  3 N 2.50
Sm 0.1954 0.1954 0.1954  3 N 2.57
S 0.4308 0.4308 0.4308  6 Sm 2.88-2.89
N 0.6006 0.6006 0.6006  6 Sm 2.50-2.57

Values from the calculation:
- Formation energy without anion corrections: -1715 meV per atom
- VASP energy: -7.188 eV per atom
- Space-group type: R3m
- Offset from the most stable computed form: 0.0624 eV per atom